Below is an optimized crystal structure of SrOsRu, with properties calculated at the GGA-PBE level.

calculated formation energy	5.15	eV/f.u.
energy	-5.681	eV per atom
calculated volume	213.1	Å³/cell
energy above the lowest structure with this stoichiometry	4.38	eV/f.u.
M_tot	3.593	Bohr magnetons per cell

abc: 5.1955 5.1955 9.1155
angles: 90.00 90.00 120.00
Space group P6_3/mmc (No. 194)
Inequivalent atoms, fractional coordinates:
Sr  0.3333  0.6667  0.2500 x2
Os  0.0000  0.0000  0.0000 x2
Ru  0.0000  0.0000  0.2500 x2